Record 1
The following is a PBE calculation of an optimized crystal structure of Pa3BeTl, from OQMD via LeMat-Bulk.

Unit cell a=6.540 b=6.540 c=6.210 alpha=90.00 beta=90.00 gamma=120.00
Atoms (fractional coordinates):
Pa (0.186, 0.379, 0.250)
Pa (0.186, 0.807, 0.750)
Pa (0.193, 0.379, 0.750)
Pa (0.193, 0.814, 0.250)
Pa (0.621, 0.807, 0.250)
Pa (0.621, 0.814, 0.750)
Be (0.000, 0.000, 0.000)
Be (0.000, 0.000, 0.500)
Tl (0.667, 0.333, 0.000)
Tl (0.667, 0.333, 0.500)

Summary:
The crystal system is hexagonal. As for the space group: P-6c2, No. 188.



Record 2
The following is a PBE calculation of an optimized crystal structure of KUZn, from OQMD via LeMat-Bulk.

Unit cell a=5.237 b=5.237 c=5.237 alpha=60.00 beta=60.00 gamma=60.00
Atoms (fractional coordinates):
K (0.000, 0.000, 0.000)
U (0.500, 0.500, 0.500)
Zn (0.250, 0.250, 0.250)

Summary:
The crystal system is cubic. The calculation puts the offset from the most stable computed form at 0 meV per atom. As for the space group: F-43m, No. 216.



DFT total energy
In order: -6.48, -3.28
Unit: eV/atom